Entry 1:
# AsPRuO2

A relaxed structure of AsPRuO2 (GGA-PBE, the Alexandria database).

Structure (CIF):
```
data_AsPRuO2
_chemical_formula_sum 'As1 P1 Ru1 O2'
_symmetry_space_group_name_H-M 'P 4/m m m'
_symmetry_Int_Tables_number 123
_symmetry_space_group_name_Hall '-P 4 2'
_cell_length_a 3.741
_cell_length_b 3.741
_cell_length_c 5.364
_cell_angle_alpha 90.00
_cell_angle_beta 90.00
_cell_angle_gamma 90.00
loop_
_atom_site_label
_atom_site_type_symbol
_atom_site_fract_x
_atom_site_fract_y
_atom_site_fract_z
_atom_site_occupancy
As1 As 0.000 0.000 0.000 1
P1 P 0.500 0.500 0.000 1
Ru1 Ru 0.500 0.500 0.500 1
O1 O 0.000 0.500 0.500 1
```

Calculated values
Energy (eV per atom): -6.021
Total magnetization (μB/cell): 1.37
Energy above the lowest structure with this stoichiometry (eV/atom): 0.000
Formation energy from raw total energies (eV per formula unit): -0.85

=====

Entry 2:
# AsPSO2

A relaxed structure of AsPSO2 (GGA-PBE, the Alexandria database).

Structure (CIF):
```
data_AsPSO2
_chemical_formula_sum 'As1 P1 S1 O2'
_symmetry_space_group_name_H-M 'P 4/m m m'
_symmetry_Int_Tables_number 123
_symmetry_space_group_name_Hall '-P 4 2'
_cell_length_a 3.565
_cell_length_b 3.565
_cell_length_c 5.613
_cell_angle_alpha 90.00
_cell_angle_beta 90.00
_cell_angle_gamma 90.00
loop_
_atom_site_label
_atom_site_type_symbol
_atom_site_fract_x
_atom_site_fract_y
_atom_site_fract_z
_atom_site_occupancy
As1 As 0.000 0.000 0.000 1
P1 P 0.000 0.000 0.500 1
S1 S 0.500 0.500 0.500 1
O1 O 0.000 0.500 0.000 1
```

Calculated values
Energy (eV per atom): -4.928
Total magnetization (μB/cell): 0.00
Formation energy from raw total energies (eV per formula unit): -0.54

=====

Please write out number 1 again, unchanged.
# AsPRuO2

A relaxed structure of AsPRuO2 (GGA-PBE, the Alexandria database).

Structure (CIF):
```
data_AsPRuO2
_chemical_formula_sum 'As1 P1 Ru1 O2'
_symmetry_space_group_name_H-M 'P 4/m m m'
_symmetry_Int_Tables_number 123
_symmetry_space_group_name_Hall '-P 4 2'
_cell_length_a 3.741
_cell_length_b 3.741
_cell_length_c 5.364
_cell_angle_alpha 90.00
_cell_angle_beta 90.00
_cell_angle_gamma 90.00
loop_
_atom_site_label
_atom_site_type_symbol
_atom_site_fract_x
_atom_site_fract_y
_atom_site_fract_z
_atom_site_occupancy
As1 As 0.000 0.000 0.000 1
P1 P 0.500 0.500 0.000 1
Ru1 Ru 0.500 0.500 0.500 1
O1 O 0.000 0.500 0.500 1
```

Calculated values
Energy (eV per atom): -6.021
Total magnetization (μB/cell): 1.37
Energy above the lowest structure with this stoichiometry (eV/atom): 0.000
Formation energy from raw total energies (eV per formula unit): -0.85